Record 1
Compound: TbDy6Co3
Source: the Alexandria database
Functional: PBE-GGA
Structure: optimized geometry

Summary:
**Crystal system**: orthorhombic
**Total moment**: 0.0 Bohr magnetons per cell
**Space group**: No. 36
**DFT total energy**: -108.2 eV for the cell shown

Geometry as POSCAR:
```
TbDy6Co3
1.0
5.730 -6.089 0.000
5.730 6.089 0.000
0.000 0.000 7.220
Tb Dy Co
2 12 6
direct
0.187 0.813 0.500
0.813 0.187 0.000
0.001 0.500 0.752
0.168 0.832 0.001
0.214 0.214 0.001
0.214 0.214 0.501
0.496 0.504 0.752
0.500 0.001 0.252
0.500 0.999 0.752
0.504 0.496 0.252
0.786 0.786 0.001
0.786 0.786 0.501
0.832 0.168 0.501
0.999 0.500 0.252
0.000 0.000 0.251
0.000 0.000 0.751
0.251 0.529 0.005
0.471 0.749 0.005
0.529 0.251 0.505
0.749 0.471 0.505
```



Record 2
Compound: TbDyCo2
Source: the Alexandria database
Functional: PBE-GGA
Structure: optimized geometry

Summary:
**Crystal system**: tetragonal
**Total moment**: 0.8 Bohr magnetons per cell
**Space group**: No. 123
**DFT total energy**: -24.0 eV for the cell shown

Geometry as POSCAR:
```
TbDyCo2
1.0
4.728 0.000 0.000
0.000 4.728 0.000
0.000 0.000 3.357
Tb Dy Co
1 1 2
direct
0.000 0.000 0.000
0.500 0.500 0.000
0.000 0.500 0.500
0.500 0.000 0.500
```



The formation enthalpy at 0 K results, record by record, are as follows: -0.052; -0.133 eV/atom.